Record 1
# TbCe2SmN4

A relaxed structure of TbCe2SmN4 (PBE-GGA, Alexandria).

```
TbCe2SmN4
1.0
6.1492 0.0000 0.0000
0.0000 3.5550 0.0000
-2.0540 0.0000 5.8055
Tb Ce Sm N
1 2 1 4
direct
0.0000 0.0000 0.0000
0.5000 0.0000 0.5000
0.5000 0.5000 0.0000
0.0000 0.5000 0.5000
0.2537 0.5000 0.2475
0.2568 0.0000 0.7559
0.7432 0.0000 0.2441
0.7463 0.5000 0.7525
```

Energy relative to the elements, uncorrected = -1191 kJ/mol of formula units
E = -8.357 eV/atom

Record 2
# TbCe3Sm2N6

A relaxed structure of TbCe3Sm2N6 (PBE-GGA, Alexandria).

```
TbCe3Sm2N6
1.0
3.0858 -5.3437 0.0000
3.0858 5.3437 0.0000
-2.0571 0.0000 5.8075
Tb Ce Sm N
1 3 2 6
direct
0.0000 0.0000 0.0000
0.1664 0.8336 0.5000
0.5000 0.5000 0.5000
0.8336 0.1664 0.5000
0.3333 0.6667 0.0000
0.6667 0.3333 0.0000
0.0855 0.4137 0.2565
0.2425 0.2425 0.7428
0.4137 0.0855 0.2565
0.5863 0.9145 0.7435
0.7575 0.7575 0.2572
0.9145 0.5863 0.7435
```

Energy relative to the elements, uncorrected = -1772 kJ/mol of formula units
E = -8.349 eV/atom

Record 3
# TbCeSm2N4

A relaxed structure of TbCeSm2N4 (PBE-GGA, Alexandria).

```
TbCeSm2N4
1.0
6.1444 0.0000 0.0000
0.0000 3.5603 0.0000
-2.0348 0.0000 5.8070
Tb Ce Sm N
1 1 2 4
direct
0.0000 0.0000 0.0000
0.5000 0.5000 0.0000
0.0000 0.5000 0.5000
0.5000 0.0000 0.5000
0.2507 0.5000 0.2408
0.2547 0.0000 0.7593
0.7453 0.0000 0.2407
0.7493 0.5000 0.7592
```

Energy relative to the elements, uncorrected = -1192 kJ/mol of formula units
E = -8.208 eV/atom

Record 4
# Tb2Ce3SmN6

A relaxed structure of Tb2Ce3SmN6 (PBE-GGA, Alexandria).

```
Tb2Ce3SmN6
1.0
3.0728 -5.3212 0.0000
3.0728 5.3212 0.0000
-2.0487 0.0000 5.7862
Tb Ce Sm N
2 3 1 6
direct
0.1667 0.8333 0.0000
0.8333 0.1667 0.0000
0.0000 0.0000 0.5000
0.3332 0.6668 0.5000
0.6668 0.3332 0.5000
0.5000 0.5000 0.0000
0.0768 0.4153 0.7461
0.2458 0.2458 0.2532
0.4153 0.0768 0.7461
0.5847 0.9232 0.2539
0.7542 0.7542 0.7468
0.9232 0.5847 0.2539
```

Energy relative to the elements, uncorrected = -1800 kJ/mol of formula units
E = -8.366 eV/atom